Record 1
DFT (PBE) results for CeZn4Ga3 after structural relaxation.

Cell lengths 4.2874, 4.2874, 8.0532 Å; angles 90.00, 90.00, 90.00 degrees
With the nearest neighbours (Å) after each atom.
Fractional positions:
Ce (0.0000, 0.0000, 0.0000)  8 Ga 3.26, 8 Zn 3.36
Zn (0.0000, 0.5000, 0.3212)  4 Ga 2.55-2.58
Zn (0.0000, 0.5000, 0.6788)  4 Ga 2.55-2.58
Zn (0.5000, 0.0000, 0.3212)  4 Ga 2.55-2.58
Zn (0.5000, 0.0000, 0.6788)  4 Ga 2.55-2.58
Ga (0.0000, 0.0000, 0.5000)  8 Zn 2.58
Ga (0.5000, 0.5000, 0.1496)  1 Ga 2.41, 4 Zn 2.55
Ga (0.5000, 0.5000, 0.8504)  1 Ga 2.41, 4 Zn 2.55

Results
Space group = P4/mmm
E_form = -0.271 eV per atom
Size of the total moment = 0.4 μB per formula unit


Record 2
DFT (PBE) results for Li2SnMoOs after structural relaxation.

Cell lengths 4.5840, 4.5840, 4.9712 Å; angles 90.00, 90.00, 90.00 degrees
With the nearest neighbours (Å) after each atom.
Fractional positions:
Li (0.0000, 0.5000, 0.0000)  2 Sn 2.29
Li (0.5000, 0.0000, 0.0000)  2 Sn 2.29
Sn (0.0000, 0.0000, 0.0000)  4 Li 2.29, 2 Os 2.49
Mo (0.5000, 0.5000, 0.5000)  4 Os 3.24, 8 Li 3.38
Os (0.0000, 0.0000, 0.5000)  2 Sn 2.49

Results
Space group = P4/mmm
E_form = 1.363 eV per atom
Size of the total moment = 3.0 μB per formula unit


Record 3
DFT (PBE) results for NaCaCe2Se4 after structural relaxation.

Cell lengths 7.3201, 4.2240, 7.3961 Å; angles 90.00, 109.14, 90.00 degrees
With the nearest neighbours (Å) after each atom.
Fractional positions:
Na (0.0000, 0.0000, 0.0000)  6 Se 3.00-3.02
Ca (0.5000, 0.5000, 0.0000)  6 Se 2.99
Ce (0.0000, 0.5000, 0.5000)  6 Se 3.00-3.02
Ce (0.5000, 0.0000, 0.5000)  6 Se 2.98-3.00
Se (0.2527, 0.0000, 0.7522)  2 Ca 2.99, 3 Ce 3.00-3.02, 1 Na 3.00
Se (0.2541, 0.5000, 0.2534)  3 Ce 2.98-3.00, 1 Ca 2.99, 2 Na 3.02
Se (0.7459, 0.5000, 0.7466)  3 Ce 2.98-3.00, 1 Ca 2.99, 2 Na 3.02
Se (0.7473, 0.0000, 0.2478)  2 Ca 2.99, 3 Ce 3.00-3.02, 1 Na 3.00

Results
Space group = P2/m
ΔE_f (raw) = -1.74 eV per atom
Size of the total moment = 2.7 μB per formula unit


Record 4
DFT (PBE) results for Tm2ZnSe4 after structural relaxation.

Cell lengths 8.0805, 8.0805, 8.0805 Å; angles 60.00, 60.00, 60.00 degrees
With the nearest neighbours (Å) after each atom.
Fractional positions:
Tm (0.0000, 0.0000, 0.0000)  6 Se 2.83
Tm (0.0000, 0.0000, 0.5000)  6 Se 2.83
Tm (0.0000, 0.5000, 0.0000)  6 Se 2.83
Tm (0.5000, 0.0000, 0.0000)  6 Se 2.83
Zn (0.3750, 0.3750, 0.3750)  4 Se 2.53
Zn (0.6250, 0.6250, 0.6250)  4 Se 2.53
Se (0.2421, 0.7526, 0.7526)  1 Zn 2.53, 3 Tm 2.83
Se (0.2474, 0.2474, 0.2474)  1 Zn 2.53, 3 Tm 2.83
Se (0.2474, 0.2474, 0.7579)  1 Zn 2.53, 3 Tm 2.83
Se (0.2474, 0.7579, 0.2474)  1 Zn 2.53, 3 Tm 2.83
Se (0.7526, 0.2421, 0.7526)  1 Zn 2.53, 3 Tm 2.83
Se (0.7526, 0.7526, 0.2421)  1 Zn 2.53, 3 Tm 2.83
Se (0.7526, 0.7526, 0.7526)  1 Zn 2.53, 3 Tm 2.83
Se (0.7579, 0.2474, 0.2474)  1 Zn 2.53, 3 Tm 2.83

Results
Space group = Fd-3m
ΔE_f (raw) = -1.51 eV per atom
Size of the total moment = 0.0 μB per formula unit